# 1
A relaxed structure of SmPu5P6. Source: Alexandria, functional PBE.

Summary:
DOS at the Fermi energy	45.775	states/eV/f.u.
energy of formation from the pure elements	-1.1844	eV per atom

Cell: 6.947 6.947 6.925 Å, 99.63 99.63 119.99°
Element x y z (fractional)
P  0.256  0.256  0.747
P  0.915  0.576  0.746
P  0.424  0.085  0.254
P  0.744  0.744  0.253
P  0.576  0.915  0.746
P  0.085  0.424  0.254
Pu  0.835  0.165  0.500
Pu  0.667  0.333  0.000
Pu  0.500  0.500  0.500
Pu  0.333  0.667  0.000
Pu  0.165  0.835  0.500
Sm  0.000  0.000  0.000

# 2
A relaxed structure of Sm3PuP4. Source: Alexandria, functional PBE.

Summary:
DOS at the Fermi energy	12.407	states/eV/f.u.
polymorph energy (0 for the lowest one)	0.00	eV/f.u.
energy of formation from the pure elements	-1.4553	eV per atom

Cell: 4.084 7.055 7.055 Å, 109.48 90.00 90.00°
Element x y z (fractional)
Sm  0.000  0.500  0.000
Sm  0.500  0.500  0.500
Sm  0.000  0.000  0.500
P  0.500  0.754  0.246
P  0.000  0.758  0.758
P  0.500  0.246  0.754
P  0.000  0.242  0.242
Pu  0.500  0.000  0.000

# 3
A relaxed structure of Sm2PuP3. Source: Alexandria, functional PBE.

Summary:
DOS at the Fermi energy	11.002	states/eV/f.u.
polymorph energy (0 for the lowest one)	0.00	eV/f.u.
energy of formation from the pure elements	-1.4225	eV per atom

Cell: 5.743 8.154 7.033 Å, 106.85 114.10 90.00°
Element x y z (fractional)
P  0.500  0.250  0.000
P  0.160  0.580  0.319
P  0.840  0.920  0.681
P  0.160  0.080  0.319
P  0.500  0.750  0.000
P  0.840  0.420  0.681
Sm  0.668  0.584  0.335
Sm  0.332  0.416  0.665
Sm  0.332  0.916  0.665
Sm  0.668  0.084  0.335
Pu  0.000  0.750  0.000
Pu  0.000  0.250  0.000

# 4
A relaxed structure of SmPu3P4. Source: Alexandria, functional PBE.

Summary:
DOS at the Fermi energy	26.363	states/eV/f.u.
energy of formation from the pure elements	-1.2447	eV per atom

Cell: 5.691 5.691 5.691 Å, 90.00 90.00 90.00°
Element x y z (fractional)
P  0.000  0.500  0.000
P  0.000  0.000  0.500
P  0.500  0.000  0.000
P  0.500  0.500  0.500
Sm  0.000  0.000  0.000
Pu  0.000  0.500  0.500
Pu  0.500  0.500  0.000
Pu  0.500  0.000  0.500